# 1
A geometry-optimized BaBeNb2Ge structure, computed with PBE.

The space group is P4/mmm (No. 123) and the conventional cell measures 5.178, 5.178 and 4.503 Å, with angles of 90.00, 90.00 and 90.00 degrees. The asymmetric unit holds Ba at (0.000, 0.000, 0.000), Be at (0.000, 0.000, 0.500), Nb at (0.000, 0.500, 0.000) and Ge at (0.500, 0.500, 0.500).

=====

# 2
A geometry-optimized Ba2BeGePt6 structure, computed with PBE.

The space group is C2/m (No. 12) and the conventional cell measures 11.536, 6.643 and 6.690 Å, with angles of 90.00, 125.04 and 90.00 degrees. The asymmetric unit holds Ba at (0.204, 0.000, 0.111), Be at (0.000, 0.000, 0.500), Ge at (0.000, 0.500, 0.000), Pt at (0.051, 0.291, 0.362) and Pt at (0.241, 0.000, 0.638).

=====

# 3
A geometry-optimized Ba2BeReGe structure, computed with PBE.

The space group is P4/mmm (No. 123) and the conventional cell measures 5.912, 5.912 and 4.403 Å, with angles of 90.00, 90.00 and 90.00 degrees. The asymmetric unit holds Ba at (0.000, 0.500, 0.000), Be at (0.000, 0.000, 0.500), Re at (0.000, 0.000, 0.000) and Ge at (0.500, 0.500, 0.500).

=====

# 4
A geometry-optimized BaBeGeRh2 structure, computed with PBE.

The space group is P4/mmm (No. 123) and the conventional cell measures 4.591, 4.591 and 4.432 Å, with angles of 90.00, 90.00 and 90.00 degrees. The asymmetric unit holds Ba at (0.000, 0.000, 0.000), Be at (0.500, 0.500, 0.500), Ge at (0.500, 0.500, 0.000) and Rh at (0.000, 0.500, 0.500).

=====

Number 1: size of the total moment 0.00 Bohr magnetons per cell, energy of formation 2.507 eV per atom. Number 2: size of the total moment 0.00 Bohr magnetons per cell, energy of formation -0.669 eV per atom. Number 3: size of the total moment 1.11 Bohr magnetons per cell, energy of formation 0.846 eV per atom. Number 4: size of the total moment 0.00 Bohr magnetons per cell, energy of formation 0.012 eV per atom.